# Rb2ZrTe4Au (PBE, relaxed)
# formation energy (no corrections)	-0.74	eV per atom
data_Rb2ZrTe4Au
_chemical_formula_sum 'Rb16 Zr8 Te32 Au8'
_cell_length_a 6.449
_cell_length_b 14.836
_cell_length_c 27.283
_cell_angle_alpha 90.00
_cell_angle_beta 90.00
_cell_angle_gamma 90.00
_symmetry_space_group_name_H-M 'F d d d'
_symmetry_Int_Tables_number 70
loop_
_symmetry_equiv_pos_as_xyz
'x,y,z'
'-x,-y,-z'
'-x+1/4,-y+1/4,z'
'x+1/4,y+1/4,-z'
'x,-y+1/4,-z+1/4'
'-x,y+1/4,z+1/4'
'-x+1/4,y,-z+1/4'
'x+1/4,-y,z+1/4'
'x,y+1/2,z+1/2'
'-x,-y+1/2,-z+1/2'
'-x+1/4,-y+3/4,z+1/2'
'x+1/4,y+3/4,-z+1/2'
'x,-y+3/4,-z+3/4'
'-x,y+3/4,z+3/4'
'-x+1/4,y+1/2,-z+3/4'
'x+1/4,-y+1/2,z+3/4'
'x+1/2,y,z+1/2'
'-x+1/2,-y,-z+1/2'
'-x+3/4,-y+1/4,z+1/2'
'x+3/4,y+1/4,-z+1/2'
'x+1/2,-y+1/4,-z+3/4'
'-x+1/2,y+1/4,z+3/4'
'-x+3/4,y,-z+3/4'
'x+3/4,-y,z+3/4'
'x+1/2,y+1/2,z'
'-x+1/2,-y+1/2,-z'
'-x+3/4,-y+3/4,z'
'x+3/4,y+3/4,-z'
'x+1/2,-y+3/4,-z+1/4'
'-x+1/2,y+3/4,z+1/4'
'-x+3/4,y+1/2,-z+1/4'
'x+3/4,-y+1/2,z+1/4'
loop_
_atom_site_label
_atom_site_type_symbol
_atom_site_fract_x
_atom_site_fract_y
_atom_site_fract_z
Rb1 Rb 0.125 0.125 0.305
Zr1 Zr 0.125 0.125 0.125
Te1 Te 0.121 0.266 0.433
Au1 Au 0.125 0.125 0.625

# AcEuH (PBE, relaxed)
# energy relative to the lowest polymorph listed for this composition	101	meV/atom
data_AcEuH
_chemical_formula_sum 'Ac2 Eu2 H2'
_cell_length_a 3.636
_cell_length_b 3.636
_cell_length_c 13.311
_cell_angle_alpha 90.00
_cell_angle_beta 90.00
_cell_angle_gamma 90.00
_symmetry_space_group_name_H-M 'I 4 m m'
_symmetry_Int_Tables_number 107
_symmetry_space_group_name_Hall 'I 4 -2'
loop_
_atom_site_label
_atom_site_type_symbol
_atom_site_fract_x
_atom_site_fract_y
_atom_site_fract_z
Ac1 Ac 0.000 0.000 0.000
Eu1 Eu 0.000 0.000 0.719
H1 H 0.000 0.000 0.188

# NaMg2HgH (PBE, relaxed)
# energy relative to the lowest polymorph listed for this composition	336	meV/atom
data_NaMg2HgH
_chemical_formula_sum 'Na1 Mg2 Hg1 H1'
_cell_length_a 5.586
_cell_length_b 5.586
_cell_length_c 3.870
_cell_angle_alpha 90.00
_cell_angle_beta 90.00
_cell_angle_gamma 90.00
_symmetry_space_group_name_H-M 'P 4/m m m'
_symmetry_Int_Tables_number 123
_symmetry_space_group_name_Hall '-P 4 2'
loop_
_atom_site_label
_atom_site_type_symbol
_atom_site_fract_x
_atom_site_fract_y
_atom_site_fract_z
Na1 Na 0.000 0.000 0.000
Mg1 Mg 0.000 0.500 0.500
Hg1 Hg 0.500 0.500 0.500
H1 H 0.500 0.500 0.000

# PrDy2CuS5 (PBE, relaxed)
# formation energy (no corrections)	-1.67	eV per atom
data_PrDy2CuS5
_chemical_formula_sum 'Pr4 Dy8 Cu4 S20'
_cell_length_a 3.830
_cell_length_b 18.474
_cell_length_c 11.042
_cell_angle_alpha 90.00
_cell_angle_beta 90.00
_cell_angle_gamma 90.00
_symmetry_space_group_name_H-M 'C m c 21'
_symmetry_Int_Tables_number 36
loop_
_symmetry_equiv_pos_as_xyz
'x,y,z'
'-x,-y,z+1/2'
'-x,y,z'
'x,-y,z+1/2'
'x+1/2,y+1/2,z'
'-x+1/2,-y+1/2,z+1/2'
'-x+1/2,y+1/2,z'
'x+1/2,-y+1/2,z+1/2'
loop_
_atom_site_label
_atom_site_type_symbol
_atom_site_fract_x
_atom_site_fract_y
_atom_site_fract_z
Pr1 Pr 0.000 0.198 0.000
Dy1 Dy 0.000 0.087 0.675
Dy2 Dy 0.000 0.109 0.302
Cu1 Cu 0.000 0.436 0.444
S1 S 0.000 0.048 0.055
S2 S 0.000 0.304 0.691
S3 S 0.000 0.333 0.319
S4 S 0.000 0.362 0.998
S5 S 0.000 0.496 0.774

# RbPaSn3 (PBE, relaxed)
# calculated formation energy	0.33	eV per atom
data_RbPaSn3
_chemical_formula_sum 'Rb1 Pa1 Sn3'
_cell_length_a 5.979
_cell_length_b 5.979
_cell_length_c 5.979
_cell_angle_alpha 90.00
_cell_angle_beta 90.00
_cell_angle_gamma 90.00
_symmetry_space_group_name_H-M 'P m -3 m'
_symmetry_Int_Tables_number 221
_symmetry_space_group_name_Hall '-P 4 2 3'
loop_
_atom_site_label
_atom_site_type_symbol
_atom_site_fract_x
_atom_site_fract_y
_atom_site_fract_z
Rb1 Rb 0.000 0.000 0.000
Pa1 Pa 0.500 0.500 0.500
Sn1 Sn 0.000 0.500 0.500

# NaAcNdAl (PBE, relaxed)
# calculated formation energy	-0.03	eV per atom
data_NaAcNdAl
_chemical_formula_sum 'Na4 Ac4 Nd4 Al4'
_cell_length_a 7.921
_cell_length_b 7.921
_cell_length_c 7.921
_cell_angle_alpha 90.00
_cell_angle_beta 90.00
_cell_angle_gamma 90.00
_symmetry_space_group_name_H-M 'F -4 3 m'
_symmetry_Int_Tables_number 216
_symmetry_space_group_name_Hall 'F -4 2 3'
loop_
_atom_site_label
_atom_site_type_symbol
_atom_site_fract_x
_atom_site_fract_y
_atom_site_fract_z
Na1 Na 0.000 0.000 0.000
Ac1 Ac 0.250 0.250 0.750
Nd1 Nd 0.250 0.250 0.250
Al1 Al 0.000 0.000 0.500

# AcCeAu2 (PBE, relaxed)
# calculated formation energy	-0.69	eV per atom
# energy relative to the lowest polymorph listed for this composition	16	meV/atom
data_AcCeAu2
_chemical_formula_sum 'Ac1 Ce1 Au2'
_cell_length_a 4.051
_cell_length_b 4.858
_cell_length_c 6.184
_cell_angle_alpha 90.00
_cell_angle_beta 109.26
_cell_angle_gamma 90.00
_symmetry_space_group_name_H-M 'P 1 m 1'
_symmetry_Int_Tables_number 6
loop_
_symmetry_equiv_pos_as_xyz
'x,y,z'
'x,-y,z'
loop_
_atom_site_label
_atom_site_type_symbol
_atom_site_fract_x
_atom_site_fract_y
_atom_site_fract_z
Ac1 Ac 0.000 0.000 0.000
Ce1 Ce 0.726 0.500 0.454
Au1 Au 0.272 0.000 0.546
Au2 Au 0.444 0.500 0.889

# CoSe2Cl (PBE, relaxed)
# formation energy (no corrections)	0.12	eV per atom
# energy relative to the lowest polymorph listed for this composition	367	meV/atom
data_CoSe2Cl
_chemical_formula_sum 'Co2 Se4 Cl2'
_cell_length_a 2.659
_cell_length_b 7.529
_cell_length_c 10.886
_cell_angle_alpha 90.00
_cell_angle_beta 90.00
_cell_angle_gamma 90.00
_symmetry_space_group_name_H-M 'I m m m'
_symmetry_Int_Tables_number 71
_symmetry_space_group_name_Hall '-I 2 2'
loop_
_atom_site_label
_atom_site_type_symbol
_atom_site_fract_x
_atom_site_fract_y
_atom_site_fract_z
Co1 Co 0.000 0.000 0.000
Se1 Se 0.000 0.500 0.325
Cl1 Cl 0.000 0.000 0.500

# BPC (PBE, relaxed)
# calculated formation energy	0.47	eV per atom
# energy relative to the lowest polymorph listed for this composition	235	meV/atom
data_BPC
_chemical_formula_sum 'B2 P2 C2'
_cell_length_a 8.492
_cell_length_b 2.637
_cell_length_c 4.807
_cell_angle_alpha 90.00
_cell_angle_beta 122.81
_cell_angle_gamma 90.00
_symmetry_space_group_name_H-M 'C 1 m 1'
_symmetry_Int_Tables_number 8
loop_
_symmetry_equiv_pos_as_xyz
'x,y,z'
'x,-y,z'
'x+1/2,y+1/2,z'
'x+1/2,-y+1/2,z'
loop_
_atom_site_label
_atom_site_type_symbol
_atom_site_fract_x
_atom_site_fract_y
_atom_site_fract_z
B1 B 0.000 0.000 0.000
P1 P 0.236 0.500 0.857
C1 C 0.082 0.500 0.991

# HfThCo2 (PBE, relaxed)
# calculated formation energy	-0.22	eV per atom
# energy relative to the lowest polymorph listed for this composition	29	meV/atom
data_HfThCo2
_chemical_formula_sum 'Hf1 Th1 Co2'
_cell_length_a 3.193
_cell_length_b 3.193
_cell_length_c 7.029
_cell_angle_alpha 90.00
_cell_angle_beta 90.00
_cell_angle_gamma 90.00
_symmetry_space_group_name_H-M 'P 4/m m m'
_symmetry_Int_Tables_number 123
_symmetry_space_group_name_Hall '-P 4 2'
loop_
_atom_site_label
_atom_site_type_symbol
_atom_site_fract_x
_atom_site_fract_y
_atom_site_fract_z
Hf1 Hf 0.000 0.000 0.000
Th1 Th 0.000 0.000 0.500
Co1 Co 0.500 0.500 0.206

# NaCo2OsPd (PBE, relaxed)
# calculated formation energy	2.23	eV per atom
data_NaCo2OsPd
_chemical_formula_sum 'Na1 Co2 Os1 Pd1'
_cell_length_a 4.225
_cell_length_b 4.225
_cell_length_c 4.613
_cell_angle_alpha 90.00
_cell_angle_beta 90.00
_cell_angle_gamma 90.00
_symmetry_space_group_name_H-M 'P 4/m m m'
_symmetry_Int_Tables_number 123
_symmetry_space_group_name_Hall '-P 4 2'
loop_
_atom_site_label
_atom_site_type_symbol
_atom_site_fract_x
_atom_site_fract_y
_atom_site_fract_z
Na1 Na 0.000 0.000 0.000
Co1 Co 0.000 0.500 0.000
Os1 Os 0.000 0.000 0.500
Pd1 Pd 0.500 0.500 0.500

# La2CdRh2 (PBE, relaxed)
# calculated formation energy	-0.33	eV per atom
data_La2CdRh2
_chemical_formula_sum 'La4 Cd2 Rh4'
_cell_length_a 8.486
_cell_length_b 8.486
_cell_length_c 3.417
_cell_angle_alpha 90.00
_cell_angle_beta 90.00
_cell_angle_gamma 90.00
_symmetry_space_group_name_H-M 'P 4/m b m'
_symmetry_Int_Tables_number 127
_symmetry_space_group_name_Hall '-P 4 2ab'
loop_
_atom_site_label
_atom_site_type_symbol
_atom_site_fract_x
_atom_site_fract_y
_atom_site_fract_z
La1 La 0.148 0.352 0.000
Cd1 Cd 0.000 0.000 0.000
Rh1 Rh 0.143 0.643 0.500